[1]
The following is a DFT calculation (GGA-PBE) of crystalline ScU8S17 at its relaxed geometry.

Unit cell a=7.843 b=7.843 c=10.477 alpha=99.59 beta=99.59 gamma=64.72
Sites, in units of the cell vectors:
Sc 0.000 0.000 0.000
U 0.183 0.698 0.302
U 0.205 0.205 0.460
U 0.302 0.817 0.698
U 0.319 0.319 0.983
U 0.681 0.681 0.017
U 0.698 0.183 0.302
U 0.795 0.795 0.540
U 0.817 0.302 0.698
S 0.000 0.000 0.500
S 0.058 0.670 0.038
S 0.062 0.062 0.236
S 0.178 0.568 0.534
S 0.212 0.212 0.721
S 0.303 0.303 0.247
S 0.330 0.942 0.962
S 0.432 0.822 0.466
S 0.479 0.479 0.830
S 0.521 0.521 0.170
S 0.568 0.178 0.534
S 0.670 0.058 0.038
S 0.697 0.697 0.753
S 0.788 0.788 0.279
S 0.822 0.432 0.466
S 0.938 0.938 0.764
S 0.942 0.330 0.962

Calculated values
For the calculated volume, the calculation gives 21.974 Å³/atom. As for the space-group type: No. 12. The calculation puts the formation energy from raw total energies at -1.47 eV per atom. The total magnetization is 17.00 μB/cell.

***

[2]
The following is a DFT calculation (GGA-PBE) of crystalline Li2CuSnH at its relaxed geometry.

Unit cell a=3.915 b=3.915 c=4.542 alpha=90.00 beta=90.00 gamma=90.00
Sites, in units of the cell vectors:
Li 0.000 0.500 0.000
Li 0.500 0.000 0.000
Cu 0.000 0.000 0.500
Sn 0.500 0.500 0.500
H 0.500 0.500 0.000

Calculated values
For the calculated volume, the calculation gives 13.921 Å³/atom. As for the space-group type: No. 123. As for the energy above the most stable polymorph in this dataset: 114 meV/atom. The total magnetization is 0.00 μB/cell.

***

[3]
The following is a DFT calculation (GGA-PBE) of crystalline TcTe3Pt at its relaxed geometry.

Unit cell a=5.292 b=5.292 c=5.292 alpha=90.00 beta=90.00 gamma=90.00
Sites, in units of the cell vectors:
Tc 0.000 0.000 0.000
Te 0.000 0.500 0.500
Te 0.500 0.000 0.500
Te 0.500 0.500 0.000
Pt 0.500 0.500 0.500

Calculated values
For the calculated volume, the calculation gives 29.644 Å³/atom. As for the space-group type: No. 221. The calculation puts the formation energy from raw total energies at 1.00 eV per atom. As for the energy above the most stable polymorph in this dataset: 110 meV/atom. The total magnetization is 3.73 μB/cell.

***

[4]
The following is a DFT calculation (GGA-PBE) of crystalline CaMoH2 at its relaxed geometry.

Unit cell a=5.154 b=5.154 c=5.154 alpha=119.56 beta=119.56 gamma=90.77
Sites, in units of the cell vectors:
Ca 0.000 0.000 0.000
Ca 0.750 0.250 0.500
Mo 0.250 0.750 0.500
Mo 0.500 0.500 0.000
H 0.189 0.125 0.564
H 0.375 0.811 0.936
H 0.561 0.625 0.436
H 0.875 0.439 0.064

Calculated values
For the calculated volume, the calculation gives 12.184 Å³/atom. As for the space-group type: No. 122. As for the energy above the most stable polymorph in this dataset: 0 meV/atom. The total magnetization is 0.00 μB/cell.

***

[5]
The following is a DFT calculation (GGA-PBE) of crystalline Pr4Sm3ThS8 at its relaxed geometry.

Unit cell a=8.130 b=8.130 c=8.130 alpha=59.91 beta=59.91 gamma=59.91
Sites, in units of the cell vectors:
Pr 0.000 0.000 0.000
Pr 0.000 0.500 0.500
Pr 0.500 0.000 0.500
Pr 0.500 0.500 0.000
Sm 0.000 0.000 0.500
Sm 0.000 0.500 0.000
Sm 0.500 0.000 0.000
Th 0.500 0.500 0.500
S 0.246 0.748 0.748
S 0.247 0.247 0.247
S 0.252 0.252 0.754
S 0.252 0.754 0.252
S 0.748 0.246 0.748
S 0.748 0.748 0.246
S 0.753 0.753 0.753
S 0.754 0.252 0.252

Calculated values
For the calculated volume, the calculation gives 23.699 Å³/atom. As for the space-group type: No. 166. The calculation puts the formation energy from raw total energies at -1.99 eV per atom. The total magnetization is 0.00 μB/cell.

***

[6]
The following is a DFT calculation (GGA-PBE) of crystalline BaTb2SmO6 at its relaxed geometry.

Unit cell a=8.708 b=5.973 c=6.156 alpha=90.00 beta=90.00 gamma=90.00
Sites, in units of the cell vectors:
Ba 0.000 0.248 0.000
Ba 0.000 0.752 0.500
Tb 0.261 0.258 0.529
Tb 0.261 0.742 0.029
Tb 0.739 0.258 0.529
Tb 0.739 0.742 0.029
Sm 0.500 0.235 0.088
Sm 0.500 0.765 0.588
O 0.000 0.199 0.549
O 0.000 0.801 0.049
O 0.240 0.406 0.187
O 0.240 0.594 0.687
O 0.337 0.045 0.819
O 0.337 0.955 0.319
O 0.500 0.395 0.454
O 0.500 0.605 0.954
O 0.663 0.045 0.819
O 0.663 0.955 0.319
O 0.760 0.406 0.187
O 0.760 0.594 0.687

Calculated values
For the calculated volume, the calculation gives 16.010 Å³/atom. As for the space-group type: No. 26. The calculation puts the formation energy from raw total energies at -3.06 eV per atom. As for the energy above the most stable polymorph in this dataset: 0 meV/atom. The total magnetization is 2.22 μB/cell.

***

[7]
The following is a DFT calculation (GGA-PBE) of crystalline Ac6Ir2SCl2 at its relaxed geometry.

Unit cell a=7.623 b=7.623 c=7.727 alpha=99.39 beta=99.39 gamma=117.96
Sites, in units of the cell vectors:
Ac 0.083 0.425 0.783
Ac 0.209 0.209 0.225
Ac 0.425 0.083 0.783
Ac 0.575 0.917 0.217
Ac 0.791 0.791 0.775
Ac 0.917 0.575 0.217
Ir 0.170 0.830 0.000
Ir 0.830 0.170 0.000
S 0.500 0.500 0.000
Cl 0.342 0.658 0.500
Cl 0.658 0.342 0.500

Calculated values
For the calculated volume, the calculation gives 34.192 Å³/atom. As for the space-group type: No. 12. The calculation puts the formation energy from raw total energies at -1.24 eV per atom. The total magnetization is 0.00 μB/cell.

***

[8]
The following is a DFT calculation (GGA-PBE) of crystalline NdScPd4 at its relaxed geometry.

Unit cell a=5.426 b=5.426 c=5.426 alpha=60.00 beta=60.00 gamma=60.00
Sites, in units of the cell vectors:
Nd 0.000 0.000 0.000
Sc 0.250 0.250 0.250
Pd 0.127 0.624 0.624
Pd 0.624 0.127 0.624
Pd 0.624 0.624 0.127
Pd 0.624 0.624 0.624

Calculated values
For the calculated volume, the calculation gives 18.823 Å³/atom. As for the space-group type: No. 216. The formation energy comes out at -4.2 eV/f.u. As for the energy above the most stable polymorph in this dataset: 102 meV/atom. The total magnetization is 0.00 μB/cell.

***

[9]
The following is a DFT calculation (GGA-PBE) of crystalline Cs12P3H5 at its relaxed geometry.

Unit cell a=16.742 b=16.742 c=16.742 alpha=109.47 beta=109.47 gamma=109.47
Sites, in units of the cell vectors:
Cs 0.037 0.214 0.131
Cs 0.037 0.324 0.907
Cs 0.083 0.714 0.676
Cs 0.083 0.869 0.407
Cs 0.093 0.631 0.417
Cs 0.093 0.963 0.676
Cs 0.131 0.037 0.214
Cs 0.131 0.593 0.917
Cs 0.176 0.214 0.583
Cs 0.176 0.463 0.593
Cs 0.214 0.131 0.037
Cs 0.214 0.583 0.176
Cs 0.286 0.324 0.917
Cs 0.286 0.463 0.369
Cs 0.324 0.907 0.037
Cs 0.324 0.917 0.286
Cs 0.369 0.286 0.463
Cs 0.369 0.583 0.907
Cs 0.407 0.083 0.869
Cs 0.407 0.824 0.537
Cs 0.417 0.093 0.631
Cs 0.417 0.824 0.786
Cs 0.463 0.369 0.286
Cs 0.463 0.593 0.176
Cs 0.537 0.407 0.824
Cs 0.537 0.631 0.714
Cs 0.583 0.176 0.214
Cs 0.583 0.907 0.369
Cs 0.593 0.176 0.463
Cs 0.593 0.917 0.131
Cs 0.631 0.417 0.093
Cs 0.631 0.714 0.537
Cs 0.676 0.083 0.714
Cs 0.676 0.093 0.963
Cs 0.714 0.537 0.631
Cs 0.714 0.676 0.083
Cs 0.786 0.417 0.824
Cs 0.786 0.869 0.963
Cs 0.824 0.537 0.407
Cs 0.824 0.786 0.417
Cs 0.869 0.407 0.083
Cs 0.869 0.963 0.786
Cs 0.907 0.037 0.324
Cs 0.907 0.369 0.583
Cs 0.917 0.131 0.593
Cs 0.917 0.286 0.324
Cs 0.963 0.676 0.093
Cs 0.963 0.786 0.869
P 0.125 0.250 0.375
P 0.125 0.375 0.750
P 0.250 0.375 0.125
P 0.250 0.875 0.625
P 0.375 0.125 0.250
P 0.375 0.750 0.125
P 0.625 0.250 0.875
P 0.625 0.875 0.750
P 0.750 0.125 0.375
P 0.750 0.625 0.875
P 0.875 0.625 0.250
P 0.875 0.750 0.625
H 0.000 0.000 0.000
H 0.000 0.000 0.500
H 0.000 0.500 0.000
H 0.000 0.500 0.500
H 0.125 0.750 0.875
H 0.125 0.875 0.250
H 0.250 0.125 0.875
H 0.250 0.625 0.375
H 0.375 0.250 0.625
H 0.375 0.625 0.750
H 0.500 0.000 0.000
H 0.500 0.000 0.500
H 0.500 0.500 0.000
H 0.500 0.500 0.500
H 0.625 0.375 0.250
H 0.625 0.750 0.375
H 0.750 0.375 0.625
H 0.750 0.875 0.125
H 0.875 0.125 0.750
H 0.875 0.250 0.125

Calculated values
Its calculated total energy is -182.0 eV/cell. For the calculated volume, the calculation gives 45.157 Å³/atom. As for the space-group type: No. 230. The total magnetization is 8.41 μB/cell.